(1)
Here is an optimized crystal structure of PmBiPdPt from Alexandria via LeMat-Bulk. Energies are from GGA-PBE.

The structure belongs to space group F-43m (No. 216); the cell edges are 7.0540, 7.0540 and 7.0540 Å and the angles 90.00°, 90.00° and 90.00°. Symmetry generates all atoms from Pm at (0.0000, 0.0000, 0.0000), Bi at (0.0000, 0.0000, 0.5000), Pd at (0.2500, 0.2500, 0.7500) and Pt at (0.2500, 0.2500, 0.2500).

As for the electronic total energy: -5.6836 eV per atom. As for the energy of formation: -0.72 eV per atom. The value obtained for the volume is 351.0 Å³/cell.

=====

(2)
Here is an optimized crystal structure of TbBr2F from Alexandria via LeMat-Bulk. Energies are from GGA-PBE.

The structure belongs to space group Immm (No. 71); the cell edges are 4.1525, 4.3885 and 14.6924 Å and the angles 90.00°, 90.00° and 90.00°. Symmetry generates all atoms from Tb at (0.0000, 0.0000, 0.0000), Br at (0.0000, 0.5000, 0.3680) and F at (0.0000, 0.5000, 0.0000).

As for the electronic total energy: -5.0932 eV per atom. The calculation puts the excess energy over the best structure of this formula in the dataset at 0.0 kJ/mol of atoms. The value obtained for the volume is 267.7 Å³/cell.

=====

(3)
Here is an optimized crystal structure of Mg2TaW from Alexandria via LeMat-Bulk. Energies are from GGA-PBE.

The structure belongs to space group Pm (No. 6); the cell edges are 2.7794, 4.5924 and 5.8143 Å and the angles 90.00°, 99.49° and 90.00°. Symmetry generates all atoms from Mg at (0.0000, 0.0000, 0.0000), Mg at (0.2343, 0.5000, 0.7463), Ta at (0.7184, 0.5000, 0.2730) and W at (0.4783, 0.0000, 0.4858).

As for the electronic total energy: -6.6750 eV per atom. The calculation puts the excess energy over the best structure of this formula in the dataset at 11.9 kJ/mol of atoms. As for the energy of formation: 0.32 eV per atom. The value obtained for the volume is 73.2 Å³/cell.

=====

(4)
Here is an optimized crystal structure of NaCrGeTe2 from Alexandria via LeMat-Bulk. Energies are from GGA-PBE.

The structure belongs to space group P4/mmm (No. 123); the cell edges are 5.4150, 5.4150 and 4.7197 Å and the angles 90.00°, 90.00° and 90.00°. Symmetry generates all atoms from Na at (0.0000, 0.0000, 0.0000), Cr at (0.5000, 0.5000, 0.5000), Ge at (0.5000, 0.5000, 0.0000) and Te at (0.0000, 0.5000, 0.5000).

As for the electronic total energy: -4.3619 eV per atom. The value obtained for the volume is 138.4 Å³/cell.

=====

(5)
Here is an optimized crystal structure of Tl4SnHg2Sb from Alexandria via LeMat-Bulk. Energies are from GGA-PBE.

The structure belongs to space group P2/m (No. 10); the cell edges are 5.4247, 5.5730 and 7.7649 Å and the angles 90.00°, 90.07° and 90.00°. Symmetry generates all atoms from Tl at (0.9998, 0.0000, 0.2474), Tl at (0.4982, 0.5000, 0.7497), Sn at (0.5000, 0.0000, 0.5000), Hg at (0.0000, 0.5000, 0.5000), Hg at (0.5000, 0.0000, 0.0000) and Sb at (0.0000, 0.5000, 0.0000).

As for the electronic total energy: -2.2665 eV per atom. The value obtained for the volume is 234.7 Å³/cell.

=====

(6)
Here is an optimized crystal structure of Tb2DyThN4 from Alexandria via LeMat-Bulk. Energies are from GGA-PBE.

The structure belongs to space group P2/m (No. 10); the cell edges are 6.1194, 3.5462 and 6.1205 Å and the angles 90.00°, 109.34° and 90.00°. Symmetry generates all atoms from Tb at (0.0000, 0.0000, 0.0000), Tb at (0.5000, 0.5000, 0.0000), Dy at (0.0000, 0.5000, 0.5000), Th at (0.5000, 0.0000, 0.5000), N at (0.2486, 0.5000, 0.2499) and N at (0.2497, 0.0000, 0.7479).

As for the electronic total energy: -8.4833 eV per atom. The value obtained for the volume is 125.3 Å³/cell.

=====

(7)
Here is an optimized crystal structure of Pr4TmPu3S8 from Alexandria via LeMat-Bulk. Energies are from GGA-PBE.

The structure belongs to space group R-3m (No. 166, hexagonal axes); the cell edges are 7.9968, 7.9968 and 19.8478 Å and the angles 90.00°, 90.00° and 120.00°. Symmetry generates all atoms from Pr at (0.0000, 0.0000, 0.0000), Pr at (0.0000, 0.5000, 0.0000), Tm at (0.0000, 0.0000, 0.5000), Pu at (0.0000, 0.5000, 0.5000), S at (0.0000, 0.0000, 0.2452) and S at (0.0044, 0.5022, 0.2445).

As for the electronic total energy: -8.1560 eV per atom. The value obtained for the volume is 1099.2 Å³/cell.

=====

(8)
Here is an optimized crystal structure of InGe3Os from Alexandria via LeMat-Bulk. Energies are from GGA-PBE.

The structure belongs to space group Pm-3m (No. 221); the cell edges are 4.8541, 4.8541 and 4.8541 Å and the angles 90.00°, 90.00° and 90.00°. Symmetry generates all atoms from In at (0.0000, 0.0000, 0.0000), Ge at (0.0000, 0.5000, 0.5000) and Os at (0.5000, 0.5000, 0.5000).

As for the electronic total energy: -5.2047 eV per atom. As for the energy of formation: 0.36 eV per atom. The value obtained for the volume is 114.4 Å³/cell.

=====

(9)
Here is an optimized crystal structure of GdErInCu from Alexandria via LeMat-Bulk. Energies are from GGA-PBE.

The structure belongs to space group F-43m (No. 216); the cell edges are 7.3056, 7.3056 and 7.3056 Å and the angles 90.00°, 90.00° and 90.00°. Symmetry generates all atoms from Gd at (0.0000, 0.0000, 0.0000), Er at (0.0000, 0.0000, 0.5000), In at (0.2500, 0.2500, 0.7500) and Cu at (0.2500, 0.2500, 0.2500).

As for the electronic total energy: -6.6784 eV per atom. As for the energy of formation: -0.31 eV per atom. The value obtained for the volume is 389.9 Å³/cell.

=====

(10)
Here is an optimized crystal structure of Pu2PbCl8 from Alexandria via LeMat-Bulk. Energies are from GGA-PBE.

The structure belongs to space group C2/m (No. 12); the cell edges are 11.2774, 8.7761 and 7.2492 Å and the angles 90.00°, 103.72° and 90.00°. Symmetry generates all atoms from Pu at (0.1808, 0.0000, 0.4492), Pb at (0.0000, 0.5000, 0.0000), Cl at (0.0631, 0.0000, 0.7365), Cl at (0.1404, 0.3086, 0.3188) and Cl at (0.1994, 0.5000, 0.8278).

As for the electronic total energy: -5.9549 eV per atom. The calculation puts the excess energy over the best structure of this formula in the dataset at 0.0 kJ/mol of atoms. The value obtained for the volume is 697.0 Å³/cell.

=====

(11)
Here is an optimized crystal structure of In3BiI from Alexandria via LeMat-Bulk. Energies are from GGA-PBE.

The structure belongs to space group Pm-3m (No. 221); the cell edges are 6.1035, 6.1035 and 6.1035 Å and the angles 90.00°, 90.00° and 90.00°. Symmetry generates all atoms from In at (0.0000, 0.0000, 0.5000), Bi at (0.0000, 0.0000, 0.0000) and I at (0.5000, 0.5000, 0.5000).

As for the electronic total energy: -2.5229 eV per atom. The calculation puts the excess energy over the best structure of this formula in the dataset at 30.5 kJ/mol of atoms. The value obtained for the volume is 227.4 Å³/cell.

=====

(12)
Here is an optimized crystal structure of Tb2NdTe from Alexandria via LeMat-Bulk. Energies are from GGA-PBE.

The structure belongs to space group R-3m (No. 166, hexagonal axes); the cell edges are 3.8624, 3.8624 and 32.4237 Å and the angles 90.00°, 90.00° and 120.00°. Symmetry generates all atoms from Tb at (0.0000, 0.0000, 0.1035), Nd at (0.0000, 0.0000, 0.0000) and Te at (0.0000, 0.0000, 0.5000).

As for the electronic total energy: -4.5566 eV per atom. The calculation puts the excess energy over the best structure of this formula in the dataset at 39.2 kJ/mol of atoms. The value obtained for the volume is 418.9 Å³/cell.